The following is a GGA-PBE calculation of a relaxed structure of Li2TeIr, from Alexandria via LeMat-Bulk.

Cell lengths 4.180, 3.913, 3.913 Å; angles 90.00, 90.00, 90.00 degrees
Atoms (fractional coordinates):
Te 0.500 0.500 0.000
Li 0.000 0.500 0.500
Li 0.000 0.000 0.000
Ir 0.500 0.000 0.500

## Properties
For the raw formation energy, the calculation gives -118 kJ/mol of formula units. The total DFT energy (no corrections) is -0.1567 Ha/atom. The volume comes out at 64.0 Å³/cell. The space group is No. 123.